Compound: TlCoP
Source: Alexandria via LeMat-Bulk
Functional: PBE
Structure: relaxed

Structure (CIF):
```
data_TlCoP
_chemical_formula_sum 'Tl1 Co1 P1'
_cell_length_a 3.4024
_cell_length_b 3.4024
_cell_length_c 5.5748
_cell_angle_alpha 90.00
_cell_angle_beta 90.00
_cell_angle_gamma 120.00
_symmetry_space_group_name_H-M 'P 3 m 1'
_symmetry_Int_Tables_number 156
_symmetry_space_group_name_Hall 'P 3 -2"'
loop_
_atom_site_label
_atom_site_type_symbol
_atom_site_fract_x
_atom_site_fract_y
_atom_site_fract_z
Tl1 Tl 0.0000 0.0000 0.0000
Co1 Co 0.6667 0.3333 0.6056
P1 P 0.3333 0.6667 0.4472
```

Values from the calculation:
The calculated volume is 18.63 Å³ per atom. As for the crystal system: trigonal. The formation energy is 0.0542 eV per atom.

***

Compound: Tl2CoP2
Source: Alexandria via LeMat-Bulk
Functional: PBE
Structure: relaxed

Structure (CIF):
```
data_Tl2CoP2
_chemical_formula_sum 'Tl4 Co2 P4'
_cell_length_a 5.839
_cell_length_b 5.839
_cell_length_c 5.903
_cell_angle_alpha 90.00
_cell_angle_beta 90.00
_cell_angle_gamma 90.00
_symmetry_space_group_name_H-M 'P 4/m b m'
_symmetry_Int_Tables_number 127
_symmetry_space_group_name_Hall '-P 4 2ab'
loop_
_atom_site_label
_atom_site_type_symbol
_atom_site_fract_x
_atom_site_fract_y
_atom_site_fract_z
Tl1 Tl 0.195 0.305 0.000
Co1 Co 0.000 0.000 0.500
P1 P 0.136 0.636 0.500
```

Values from the calculation:
The calculated volume is 20.13 Å³ per atom. As for the crystal system: tetragonal. The formation energy is 0.0173 eV per atom.

***

Compound: TlCoP
Source: Alexandria via LeMat-Bulk
Functional: PBE
Structure: relaxed

Structure (CIF):
```
data_TlCoP
_chemical_formula_sum 'Tl2 Co2 P2'
_cell_length_a 3.820
_cell_length_b 3.820
_cell_length_c 8.266
_cell_angle_alpha 90.00
_cell_angle_beta 90.00
_cell_angle_gamma 90.00
_symmetry_space_group_name_H-M 'P 4/n m m'
_symmetry_Int_Tables_number 129
loop_
_symmetry_equiv_pos_as_xyz
'x,y,z'
'-x,-y,-z'
'-y+1/2,x,z'
'y+1/2,-x,-z'
'-x+1/2,-y+1/2,z'
'x+1/2,y+1/2,-z'
'y,-x+1/2,z'
'-y,x+1/2,-z'
'x+1/2,-y,-z'
'-x+1/2,y,z'
'-y,-x,-z'
'y,x,z'
'-x,y+1/2,-z'
'x,-y+1/2,z'
'y+1/2,x+1/2,-z'
'-y+1/2,-x+1/2,z'
loop_
_atom_site_label
_atom_site_type_symbol
_atom_site_fract_x
_atom_site_fract_y
_atom_site_fract_z
Tl1 Tl 0.250 0.250 0.168
Co1 Co 0.250 0.750 0.500
P1 P 0.250 0.250 0.637
```

Values from the calculation:
The calculated volume is 20.10 Å³ per atom. As for the crystal system: tetragonal. The formation energy is -0.2704 eV per atom.

***

Compound: TlCoP2
Source: Alexandria via LeMat-Bulk
Functional: PBE
Structure: relaxed

Structure (CIF):
```
data_TlCoP2
_chemical_formula_sum 'Tl2 Co2 P4'
_cell_length_a 6.721
_cell_length_b 3.422
_cell_length_c 6.641
_cell_angle_alpha 90.00
_cell_angle_beta 104.00
_cell_angle_gamma 90.00
_symmetry_space_group_name_H-M 'C 1 2/m 1'
_symmetry_Int_Tables_number 12
_symmetry_space_group_name_Hall '-C 2y'
loop_
_atom_site_label
_atom_site_type_symbol
_atom_site_fract_x
_atom_site_fract_y
_atom_site_fract_z
Tl1 Tl 0.000 0.000 0.000
Co1 Co 0.000 0.500 0.500
P1 P 0.219 0.000 0.626
```

Values from the calculation:
The calculated volume is 18.53 Å³ per atom. As for the crystal system: monoclinic. The formation energy is -0.1059 eV per atom.